Record 1
The following is a DFT calculation (PBE-GGA) of crystalline Y2LuGa at its relaxed geometry.

Values from the calculation:
Total magnetization   0.00 μB/cell
Energy of formation from the pure elements   -23 kJ per mole of atoms
Energy above the most stable polymorph in this dataset   0.042 eV/atom
V   104.3 Å³/cell

abc: 4.720 4.720 4.679
angles: 90.00 90.00 90.00
Space group P4/mmm (No. 123)
Asymmetric unit:
Y 0.000 0.500 0.000 [2 per cell]
Lu 0.000 0.000 0.500 [1 per cell]
Ga 0.500 0.500 0.500 [1 per cell]

=====

Record 2
The following is a DFT calculation (PBE-GGA) of crystalline LuZnGa at its relaxed geometry.

Values from the calculation:
Total magnetization   0.00 μB/cell
Energy of formation from the pure elements   -36 kJ per mole of atoms
V   248.9 Å³/cell

abc: 6.291 6.291 6.291
angles: 90.00 90.00 90.00
Space group F-43m (No. 216)
Asymmetric unit:
Lu 0.000 0.000 0.000 [4 per cell]
Zn 0.250 0.250 0.750 [4 per cell]
Ga 0.000 0.000 0.500 [4 per cell]